First-principles (PBE with a Hubbard U) data for a geometry-optimized NiIrI2O structure, as listed in Alexandria.

```
5
Lattice="5.5586 0.0000 0.0000 0.0000 5.5586 0.0000 0.0000 0.0000 3.7203" Properties=species:S:1:pos:R:3 pbc="T T T"
I 0.0000 2.7793 0.0000
Ir 0.0000 0.0000 0.0000
O 0.0000 0.0000 1.8601
Ni 2.7793 2.7793 1.8601
I 2.7793 0.0000 0.0000
```

Values from the calculation:
The value obtained for the density of states at the Fermi level is 1.6259 states/eV/atom. Its energy above the most stable polymorph in this dataset is 0 meV per atom. As for the symmetry: P4/mmm (123).